Compound: BaCaNiB2
Source: the Alexandria database
Functional: GGA-PBE
Structure: optimized geometry

Lattice parameters (Å, degrees): 4.7494 4.7494 6.1627 90.00 90.00 90.00
Sites, in units of the cell vectors:
1 Ba 0.0000 0.0000 0.0000
2 Ca 0.0000 0.0000 0.5000
3 Ni 0.5000 0.5000 0.0000
4 B 0.0000 0.5000 0.5000
5 B 0.5000 0.0000 0.5000

Calculated values
The energy is -2.505 eV per atom. The total magnetization is 0.13 μB/atom.



Compound: Ba3CaB2O6
Source: the Alexandria database
Functional: GGA-PBE
Structure: optimized geometry

Lattice parameters (Å, degrees): 5.5975 5.5975 8.1010 90.00 90.00 120.00
Sites, in units of the cell vectors:
1 Ba 0.0000 0.0000 0.0000
2 Ba 0.3333 0.6667 0.7072
3 Ba 0.6667 0.3333 0.2928
4 Ca 0.0000 0.0000 0.5000
5 B 0.3333 0.6667 0.3118
6 B 0.6667 0.3333 0.6882
7 O 0.1891 0.3782 0.3196
8 O 0.1891 0.8109 0.3196
9 O 0.3782 0.1891 0.6804
10 O 0.6218 0.8109 0.3196
11 O 0.8109 0.1891 0.6804
12 O 0.8109 0.6218 0.6804

Calculated values
The energy is -6.762 eV per atom. For the formation energy without anion corrections, the calculation gives -2.5227 eV per atom. The total magnetization is 0.01 μB/atom.



Compound: BaCaBO2
Source: the Alexandria database
Functional: GGA-PBE
Structure: optimized geometry

Lattice parameters (Å, degrees): 4.3638 4.3638 6.3926 90.00 90.00 90.00
Sites, in units of the cell vectors:
1 Ba 0.0000 0.0000 0.0000
2 Ca 0.0000 0.0000 0.5000
3 B 0.5000 0.5000 0.0000
4 O 0.0000 0.5000 0.5000
5 O 0.5000 0.0000 0.5000

Calculated values
The energy is -4.019 eV per atom. For the formation energy without anion corrections, the calculation gives 0.0843 eV per atom. The total magnetization is 0.00 μB/atom.



Compound: BaCa2B2O6
Source: the Alexandria database
Functional: GGA-PBE
Structure: optimized geometry

Lattice parameters (Å, degrees): 5.5696 5.6252 6.2607 99.02 112.34 108.48
Sites, in units of the cell vectors:
1 Ba 0.0000 0.0000 0.0000
2 Ca 0.3788 0.2899 0.6680
3 Ca 0.6212 0.7101 0.3320
4 B 0.2907 0.7435 0.7310
5 B 0.7093 0.2565 0.2690
6 O 0.1030 0.8551 0.6331
7 O 0.3080 0.6513 0.9282
8 O 0.4758 0.7259 0.6334
9 O 0.5242 0.2741 0.3666
10 O 0.6920 0.3487 0.0718
11 O 0.8970 0.1449 0.3669

Calculated values
The energy is -7.232 eV per atom. For the formation energy without anion corrections, the calculation gives -2.7749 eV per atom. The total magnetization is 0.00 μB/atom.